*P*
Computed, not measured: a relaxed Tb2ThPb crystal at the PBE level of DFT.

The structure belongs to space group P4/mmm (No. 123); the cell edges are 4.970, 4.970 and 4.776 Å and the angles 90.00°, 90.00° and 90.00°. The inequivalent atoms are Tb at (0.000, 0.500, 0.000), Th at (0.000, 0.000, 0.500) and Pb at (0.500, 0.500, 0.500).

The calculation puts the volume at 29.49 A^3/atom.

*Q*
Computed, not measured: a relaxed Tb2ThPb crystal at the PBE level of DFT.

The structure belongs to space group P4/mmm (No. 123); the cell edges are 3.654, 3.654 and 9.080 Å and the angles 90.00°, 90.00° and 90.00°. The inequivalent atoms are Tb at (0.000, 0.000, 0.238), Th at (0.500, 0.500, 0.500) and Pb at (0.500, 0.500, 0.000).

The calculation puts the volume at 30.30 A^3/atom.

*R*
Computed, not measured: a relaxed Tb2ThPb crystal at the PBE level of DFT.

The structure belongs to space group Cm (No. 8); the cell edges are 6.212, 3.588 and 11.239 Å and the angles 90.00°, 100.56° and 90.00°. The inequivalent atoms are Tb at (0.000, 0.000, 0.000), Tb at (0.174, 0.000, 0.521), Th at (0.420, 0.000, 0.260) and Pb at (0.087, 0.500, 0.760).

The calculation puts the volume at 30.78 A^3/atom.

*S*
Computed, not measured: a relaxed Tb2ThPb crystal at the PBE level of DFT.

The structure belongs to space group R-3m (No. 166, hexagonal axes); the cell edges are 3.5647, 3.5647 and 35.8960 Å and the angles 90.00°, 90.00° and 120.00°. The inequivalent atoms are Tb at (0.0000, 0.0000, 0.0889), Th at (0.0000, 0.0000, 0.5000) and Pb at (0.0000, 0.0000, 0.0000).

The calculation puts the volume at 32.92 A^3/atom.

Quick one: most stable of them? *P*

*P*
Computed, not measured: a relaxed TbTh2Pb crystal at the PBE level of DFT.

The structure belongs to space group R-3m (No. 166, hexagonal axes); the cell edges are 3.4432, 3.4432 and 37.2317 Å and the angles 90.00°, 90.00° and 120.00°. The inequivalent atoms are Tb at (0.0000, 0.0000, 0.0000), Th at (0.0000, 0.0000, 0.0894) and Pb at (0.0000, 0.0000, 0.5000).

The calculation puts the volume at 31.86 A^3/atom.

*Q*
Computed, not measured: a relaxed TbTh2Pb crystal at the PBE level of DFT.

The structure belongs to space group P4/mmm (No. 123); the cell edges are 4.829, 4.829 and 5.159 Å and the angles 90.00°, 90.00° and 90.00°. The inequivalent atoms are Tb at (0.000, 0.000, 0.000), Th at (0.000, 0.500, 0.500) and Pb at (0.500, 0.500, 0.000).

The calculation puts the volume at 30.07 A^3/atom.

Quick one: most stable of them? *Q*

*P*
Computed, not measured: a relaxed TbTl2Pb crystal at the PBE level of DFT.

The structure belongs to space group P4/mmm (No. 123); the cell edges are 4.682, 4.682 and 5.096 Å and the angles 90.00°, 90.00° and 90.00°. The inequivalent atoms are Tb at (0.000, 0.000, 0.000), Tl at (0.000, 0.500, 0.500) and Pb at (0.500, 0.500, 0.000).

The calculation puts the volume at 27.92 A^3/atom.

*Q*
Computed, not measured: a relaxed TbTl2Pb crystal at the PBE level of DFT.

The structure belongs to space group P4/mmm (No. 123); the cell edges are 3.992, 3.992 and 7.210 Å and the angles 90.00°, 90.00° and 90.00°. The inequivalent atoms are Tb at (0.000, 0.000, 0.000), Tl at (0.500, 0.500, 0.251) and Pb at (0.000, 0.000, 0.500).

The calculation puts the volume at 28.73 A^3/atom.

*R*
Computed, not measured: a relaxed TbTl2Pb crystal at the PBE level of DFT.

The structure belongs to space group Fm-3m (No. 225); the cell edges are 7.761, 7.761 and 7.761 Å and the angles 90.00°, 90.00° and 90.00°. The inequivalent atoms are Tb at (0.000, 0.000, 0.000), Tl at (0.250, 0.250, 0.250) and Pb at (0.000, 0.000, 0.500).

The calculation puts the volume at 29.22 A^3/atom.

*S*
Computed, not measured: a relaxed TbTl2Pb crystal at the PBE level of DFT.

The structure belongs to space group R3m (No. 160, hexagonal axes); the cell edges are 5.0239, 5.0239 and 17.5565 Å and the angles 90.00°, 90.00° and 120.00°. The inequivalent atoms are Tb at (0.0000, 0.0000, 0.0000), Tl at (0.0000, 0.0000, 0.4166), Tl at (0.0000, 0.0000, 0.6087) and Pb at (0.0000, 0.0000, 0.1892).

The calculation puts the volume at 31.98 A^3/atom.

Quick one: most stable of them? *P*

*P*
Computed, not measured: a relaxed TbYTlPb crystal at the PBE level of DFT.

The structure belongs to space group F-43m (No. 216); the cell edges are 7.664, 7.664 and 7.664 Å and the angles 90.00°, 90.00° and 90.00°. The inequivalent atoms are Tb at (0.000, 0.000, 0.000), Y at (0.000, 0.000, 0.500), Tl at (0.250, 0.250, 0.750) and Pb at (0.250, 0.250, 0.250).

The calculation puts the volume at 28.14 A^3/atom.

*Q*
Computed, not measured: a relaxed TbYTlPb crystal at the PBE level of DFT.

The structure belongs to space group I-4m2 (No. 119); the cell edges are 5.027, 5.027 and 8.821 Å and the angles 90.00°, 90.00° and 90.00°. The inequivalent atoms are Tb at (0.000, 0.000, 0.000), Y at (0.000, 0.000, 0.500), Tl at (0.000, 0.500, 0.250) and Pb at (0.000, 0.500, 0.750).

The calculation puts the volume at 27.86 A^3/atom.

Quick one: most stable of them? *Q*

*P*
Computed, not measured: a relaxed TbTm4Pb5 crystal at the PBE level of DFT.

The structure belongs to space group P4/mmm (No. 123); the cell edges are 3.549, 3.549 and 22.060 Å and the angles 90.00°, 90.00° and 90.00°. The inequivalent atoms are Tb at (0.000, 0.000, 0.000), Tm at (0.000, 0.000, 0.201), Tm at (0.000, 0.000, 0.400), Pb at (0.500, 0.500, 0.102), Pb at (0.500, 0.500, 0.301) and Pb at (0.500, 0.500, 0.500).

The calculation puts the volume at 27.78 A^3/atom.

*Q*
Computed, not measured: a relaxed TbTm4Pb5 crystal at the PBE level of DFT.

The structure belongs to space group I4 (No. 79); the cell edges are 9.877, 9.877 and 6.248 Å and the angles 90.00°, 90.00° and 90.00°. The inequivalent atoms are Tb at (0.000, 0.000, 0.000), Tm at (0.102, 0.298, 0.503), Pb at (0.000, 0.000, 0.500) and Pb at (0.099, 0.303, 0.003).

The calculation puts the volume at 30.47 A^3/atom.

Quick one: most stable of them? *P*

*P*
Computed, not measured: a relaxed TbY2Pb crystal at the PBE level of DFT.

The structure belongs to space group P4/mmm (No. 123); the cell edges are 3.661, 3.661 and 9.182 Å and the angles 90.00°, 90.00° and 90.00°. The inequivalent atoms are Tb at (0.000, 0.000, 0.000), Y at (0.500, 0.500, 0.266) and Pb at (0.000, 0.000, 0.500).

The calculation puts the volume at 30.77 A^3/atom.

*Q*
Computed, not measured: a relaxed TbY2Pb crystal at the PBE level of DFT.

The structure belongs to space group R3m (No. 160, hexagonal axes); the cell edges are 5.2163, 5.2163 and 17.1682 Å and the angles 90.00°, 90.00° and 120.00°. The inequivalent atoms are Tb at (0.0000, 0.0000, 0.0000), Y at (0.0000, 0.0000, 0.2180), Y at (0.0000, 0.0000, 0.4382) and Pb at (0.0000, 0.0000, 0.8035).

The calculation puts the volume at 33.71 A^3/atom.

*R*
Computed, not measured: a relaxed TbY2Pb crystal at the PBE level of DFT.

The structure belongs to space group P4/mmm (No. 123); the cell edges are 4.893, 4.893 and 4.833 Å and the angles 90.00°, 90.00° and 90.00°. The inequivalent atoms are Tb at (0.000, 0.000, 0.000), Y at (0.000, 0.500, 0.500) and Pb at (0.500, 0.500, 0.000).

The calculation puts the volume at 28.93 A^3/atom.

Quick one: most stable of them? *R*

*P*
Computed, not measured: a relaxed Tb3YPb2 crystal at the PBE level of DFT.

The structure belongs to space group Cmmm (No. 65); the cell edges are 4.934, 16.017 and 4.425 Å and the angles 90.00°, 90.00° and 90.00°. The inequivalent atoms are Tb at (0.000, 0.000, 0.000), Tb at (0.000, 0.325, 0.000), Y at (0.000, 0.500, 0.500) and Pb at (0.000, 0.151, 0.500).

The calculation puts the volume at 29.14 A^3/atom.

*Q*
Computed, not measured: a relaxed Tb3YPb2 crystal at the PBE level of DFT.

The structure belongs to space group P-4m2 (No. 115); the cell edges are 4.580, 4.580 and 8.611 Å and the angles 90.00°, 90.00° and 90.00°. The inequivalent atoms are Tb at (0.000, 0.000, 0.000), Tb at (0.000, 0.500, 0.657), Y at (0.500, 0.500, 0.000) and Pb at (0.000, 0.500, 0.284).

The calculation puts the volume at 30.10 A^3/atom.

Quick one: most stable of them? *Q*

*P*
Computed, not measured: a relaxed TbZn2Pb crystal at the PBE level of DFT.

The structure belongs to space group R-3m (No. 166, hexagonal axes); the cell edges are 4.6009, 4.6009 and 15.2022 Å and the angles 90.00°, 90.00° and 120.00°. The inequivalent atoms are Tb at (0.0000, 0.0000, 0.0000), Zn at (0.0000, 0.0000, 0.2401) and Pb at (0.0000, 0.0000, 0.5000).

The calculation puts the volume at 23.22 A^3/atom.

*Q*
Computed, not measured: a relaxed TbZn2Pb crystal at the PBE level of DFT.

The structure belongs to space group P4/mmm (No. 123); the cell edges are 4.434, 4.434 and 4.476 Å and the angles 90.00°, 90.00° and 90.00°. The inequivalent atoms are Tb at (0.000, 0.000, 0.000), Zn at (0.000, 0.500, 0.500) and Pb at (0.500, 0.500, 0.000).

The calculation puts the volume at 22.00 A^3/atom.

Quick one: most stable of them? *Q*

*P*
Computed, not measured: a relaxed TcPb crystal at the PBE level of DFT.

The structure belongs to space group F-43m (No. 216); the cell edges are 6.298, 6.298 and 6.298 Å and the angles 90.00°, 90.00° and 90.00°. The inequivalent atoms are Tc at (0.000, 0.000, 0.000) and Pb at (0.250, 0.250, 0.750).

The calculation puts the volume at 31.23 A^3/atom.

*Q*
Computed, not measured: a relaxed TcPb crystal at the PBE level of DFT.

The structure belongs to space group R-3m (No. 166, hexagonal axes); the cell edges are 3.0976, 3.0976 and 32.0399 Å and the angles 90.00°, 90.00° and 120.00°. The inequivalent atoms are Tc at (0.0000, 0.0000, 0.1384) and Pb at (0.0000, 0.0000, 0.3922).

The calculation puts the volume at 22.19 A^3/atom.

Quick one: most stable of them? *Q*

*P*
Computed, not measured: a relaxed TcPb crystal at the PBE level of DFT.

The structure belongs to space group Pnma (No. 62); the cell edges are 7.110, 4.344 and 5.565 Å and the angles 90.00°, 90.00° and 90.00°. The inequivalent atoms are Tc at (0.019, 0.250, 0.103) and Pb at (0.158, 0.250, 0.602).

The calculation puts the volume at 21.48 A^3/atom.

*Q*
Computed, not measured: a relaxed TcPb crystal at the PBE level of DFT.

The structure belongs to space group Cmcm (No. 63); the cell edges are 3.648, 10.438 and 4.394 Å and the angles 90.00°, 90.00° and 90.00°. The inequivalent atoms are Tc at (0.000, 0.057, 0.250) and Pb at (0.000, 0.341, 0.250).

The calculation puts the volume at 20.91 A^3/atom.

*R*
Computed, not measured: a relaxed TcPb crystal at the PBE level of DFT.

The structure belongs to space group P-6m2 (No. 187); the cell edges are 3.2982, 3.2982 and 4.1823 Å and the angles 90.00°, 90.00° and 120.00°. The inequivalent atoms are Tc at (0.0000, 0.0000, 0.0000) and Pb at (0.3333, 0.6667, 0.5000).

The calculation puts the volume at 19.70 A^3/atom.

*S*
Computed, not measured: a relaxed TcPb crystal at the PBE level of DFT.

The structure belongs to space group Fd-3m (No. 227, origin choice 2); the cell edges are 6.842, 6.842 and 6.842 Å and the angles 90.00°, 90.00° and 90.00°. The inequivalent atoms are Tc at (0.125, 0.125, 0.125) and Pb at (0.125, 0.125, 0.625).

The calculation puts the volume at 20.02 A^3/atom.

Quick one: most stable of them? *Q*

*P*
Computed, not measured: a relaxed TcPb crystal at the PBE level of DFT.

The structure belongs to space group P6_3/mmc (No. 194); the cell edges are 3.2598, 3.2598 and 8.5298 Å and the angles 90.00°, 90.00° and 120.00°. The inequivalent atoms are Tc at (0.3333, 0.6667, 0.2500) and Pb at (0.0000, 0.0000, 0.0000).

The calculation puts the volume at 19.62 A^3/atom.

*Q*
Computed, not measured: a relaxed TcPb crystal at the PBE level of DFT.

The structure belongs to space group Imma (No. 74); the cell edges are 3.243, 4.782 and 11.636 Å and the angles 90.00°, 90.00° and 90.00°. The inequivalent atoms are Tc at (0.000, 0.250, 0.175) and Pb at (0.000, 0.250, 0.608).

The calculation puts the volume at 22.55 A^3/atom.

Quick one: most stable of them? *Q*